# 1
Entry from Alexandria: a relaxed YMg2Rh crystal (PBE-GGA).

Output
Its symmetry is No. 123. For the formation energy, the calculation gives -0.283 eV per atom.

```
4
Lattice="-1.373 -2.402 1.694 -0.821 -1.483 -2.768 6.874 -3.896 0.048" Properties=species:S:1:pos:R:3 pbc="T T T"
Y 4.059 -4.864 -0.501
Mg 2.981 -1.690 0.021
Mg 0.456 -0.258 0.003
Rh 0.621 -2.916 -0.525
```


# 2
Entry from Alexandria: a relaxed LiEuYIr crystal (PBE-GGA).

Output
Its symmetry is No. 216. For the formation energy, the calculation gives -0.381 eV per atom.

```
4
Lattice="4.997 0.000 0.000 2.498 4.327 0.000 2.498 1.442 4.080" Properties=species:S:1:pos:R:3 pbc="T T T"
Y 0.000 0.000 0.000
Ir 2.498 1.442 1.020
Li 7.495 4.327 3.060
Eu 4.997 2.885 2.040
```


# 3
Entry from Alexandria: a relaxed CeZn3Cd crystal (PBE-GGA).

Output
Its symmetry is No. 12. For the formation energy, the calculation gives -0.113 eV per atom.

```
10
Lattice="-1.915 0.581 -3.986 -1.365 -3.991 0.074 -7.761 5.014 6.958" Properties=species:S:1:pos:R:3 pbc="T T T"
Zn -5.841 2.032 1.861
Cd -3.138 1.081 0.424
Zn -10.117 1.301 3.803
Ce -3.761 -0.982 -2.077
Zn -0.925 0.302 -0.758
Cd -7.904 0.522 2.622
Zn -5.613 -0.237 3.909
Zn -5.201 -0.429 1.185
Ce -7.281 2.586 5.122
Zn -5.428 1.841 -0.864
```


# 4
Entry from Alexandria: a relaxed YZnTe2I crystal (PBE-GGA).

Output
Its symmetry is No. 123. As for the polymorph energy (0 for the lowest one): 0.052 eV/atom. For the formation energy from raw total energies, the calculation gives -0.22 eV/atom.

```
5
Lattice="5.382 0.000 0.000 0.000 5.369 0.000 0.000 0.000 5.382" Properties=species:S:1:pos:R:3 pbc="T T T"
I 0.000 2.684 0.000
Zn 0.000 0.000 0.000
Te 2.691 0.000 0.000
Y 2.691 2.684 2.691
Te 0.000 0.000 2.691
```


# 5
Entry from Alexandria: a relaxed CsHfCu2Br crystal (PBE-GGA).

Output
Its symmetry is No. 123. For the formation energy from raw total energies, the calculation gives 1.29 eV/atom.

```
5
Lattice="4.966 0.000 0.000 0.000 4.966 0.000 0.000 0.000 6.236" Properties=species:S:1:pos:R:3 pbc="T T T"
Cs 0.000 0.000 3.118
Cu 2.483 0.000 0.000
Hf 2.483 2.483 3.118
Cu 0.000 2.483 0.000
Br 0.000 0.000 0.000
```


# 6
Entry from Alexandria: a relaxed Nd2Er3Th crystal (PBE-GGA).

Output
Its symmetry is No. 12. As for the polymorph energy (0 for the lowest one): 0.008 eV/atom. For the formation energy, the calculation gives 0.137 eV per atom.

```
12
Lattice="5.777 0.000 1.190 2.022 4.489 4.803 -0.004 -0.379 14.642" Properties=species:S:1:pos:R:3 pbc="T T T"
Er 5.134 0.089 4.313
Er 5.193 3.173 18.646
Th 4.539 2.024 7.204
Nd 3.901 0.380 10.303
Er 6.486 2.944 12.372
Er 1.310 1.166 8.263
Er 2.602 0.937 1.988
Nd 2.011 2.712 4.855
Nd 3.895 3.729 10.331
Nd 5.784 1.398 15.780
Er 2.661 4.021 16.322
Th 3.256 2.086 13.431
```


# 7
Entry from Alexandria: a relaxed TiIn3Br6 crystal (PBE-GGA).

Output
Its symmetry is No. 14. As for the polymorph energy (0 for the lowest one): 0.000 eV/atom. For the formation energy from raw total energies, the calculation gives -0.86 eV/atom.

```
20
Lattice="-5.302 -1.337 -4.938 5.058 -5.542 -3.931 -3.235 -7.847 6.901" Properties=species:S:1:pos:R:3 pbc="T T T"
In -1.618 -3.923 3.450
In -4.535 -7.121 2.688
In -0.122 -3.439 -4.434
Br -0.432 -12.627 1.876
Br -0.986 -5.809 -6.617
In 0.400 -9.009 2.576
Br -3.611 -5.569 -1.205
Br -2.398 -8.350 -3.319
Br 0.131 -9.156 -0.763
Br -3.048 -2.099 -3.843
Br -2.370 -12.471 -2.656
Ti -1.740 -7.363 -0.984
Br -1.110 -2.255 0.689
Br -3.438 -8.972 0.162
In -3.880 -5.716 -4.543
Br -0.041 -5.753 -2.130
Ti 0.000 0.000 0.000
Br -1.082 -6.375 1.351
Br -2.493 -8.916 4.649
In 1.055 -7.605 -4.656
```


# 8
Entry from Alexandria: a relaxed LiCa2CoCl crystal (PBE-GGA).

Output
Its symmetry is No. 123. For the formation energy from raw total energies, the calculation gives 0.06 eV/atom.

```
5
Lattice="-0.513 5.598 0.344 -4.898 -0.615 2.711 1.957 -0.037 3.527" Properties=species:S:1:pos:R:3 pbc="T T T"
Ca -0.256 2.799 0.172
Co 0.979 -0.019 1.763
Cl -1.727 2.473 3.291
Ca -2.449 -0.308 1.356
Li 0.000 0.000 0.000
```


# 9
Entry from Alexandria: a relaxed CoAgBr2 crystal (PBE-GGA).

Output
Its symmetry is No. 160. As for the polymorph energy (0 for the lowest one): 0.040 eV/atom. For the formation energy from raw total energies, the calculation gives 0.04 eV/atom.

```
4
Lattice="-6.500 -1.280 -4.037 -3.984 -3.990 -5.329 -5.944 -4.572 -1.988" Properties=species:S:1:pos:R:3 pbc="T T T"
Ag -12.514 -7.498 -8.649
Br -0.472 -0.283 -0.326
Co -8.244 -4.940 -5.698
Br -3.411 -2.044 -2.358
```


# 10
Entry from Alexandria: a relaxed AcThRh crystal (PBE-GGA).

Output
Its symmetry is No. 107. As for the polymorph energy (0 for the lowest one): 0.052 eV/atom. For the formation energy, the calculation gives -0.427 eV per atom.

```
3
Lattice="-1.944 2.867 1.341 -3.003 -1.172 -1.846 0.778 -4.318 5.213" Properties=species:S:1:pos:R:3 pbc="T T T"
Rh -3.132 -0.501 1.675
Ac -0.042 -0.085 0.122
Th -0.995 -2.037 2.912
```


# 11
Entry from Alexandria: a relaxed ZnCr3Co crystal (PBE-GGA).

Output
Its symmetry is No. 221. As for the polymorph energy (0 for the lowest one): 0.000 eV/atom. For the formation energy, the calculation gives 1.152 eV per atom.

```
5
Lattice="4.259 0.000 0.000 0.000 4.259 0.000 0.000 0.000 4.259" Properties=species:S:1:pos:R:3 pbc="T T T"
Cr 0.000 0.000 2.130
Zn 2.130 2.130 2.130
Co 0.000 0.000 0.000
Cr 0.000 2.130 0.000
Cr 2.130 0.000 0.000
```


# 12
Entry from Alexandria: a relaxed Nd4SnGe crystal (PBE-GGA).

Output
Its symmetry is No. 11. As for the polymorph energy (0 for the lowest one): 0.000 eV/atom. For the formation energy, the calculation gives -0.565 eV per atom.

```
12
Lattice="5.403 0.000 -2.349 0.000 6.841 0.000 -0.397 0.000 9.813" Properties=species:S:1:pos:R:3 pbc="T T T"
Nd 3.124 1.710 2.921
Nd 1.796 5.131 0.473
Nd 1.882 5.131 4.543
Nd 4.931 3.317 0.212
Sn 1.639 1.710 0.081
Ge 4.091 5.131 2.569
Sn 3.367 5.131 7.383
Nd 0.075 3.524 7.252
Nd 0.075 6.738 7.252
Nd 3.210 1.710 6.990
Ge 0.915 1.710 4.895
Nd 4.931 0.104 0.212
```


# 13
Entry from Alexandria: a relaxed SrCaBe crystal (PBE-GGA).

Output
Its symmetry is No. 107. As for the polymorph energy (0 for the lowest one): 0.000 eV/atom. For the formation energy, the calculation gives 0.321 eV per atom.

```
3
Lattice="-6.241 -2.699 -2.656 -5.336 -4.980 0.138 -2.661 1.521 2.105" Properties=species:S:1:pos:R:3 pbc="T T T"
Sr -8.297 -4.294 -0.816
Ca -6.009 -1.933 0.370
Be -11.511 -7.611 -2.483
```


# 14
Entry from Alexandria: a relaxed NbMoPS2 crystal (PBE-GGA).

Output
Its symmetry is No. 123. For the formation energy from raw total energies, the calculation gives 0.56 eV/atom.

```
5
Lattice="-4.507 0.616 0.710 -0.875 -1.478 -4.272 -0.355 -4.460 1.616" Properties=species:S:1:pos:R:3 pbc="T T T"
Mo 0.000 0.000 0.000
S -2.254 0.308 0.355
Nb -2.868 -2.661 -0.973
P -0.177 -2.230 0.808
S -0.437 -0.739 -2.136
```


# 15
Entry from Alexandria: a relaxed Ho5Cd4Rh crystal (PBE-GGA).

Output
Its symmetry is No. 123. For the formation energy, the calculation gives -0.435 eV per atom.

```
10
Lattice="3.607 0.000 0.000 0.000 3.607 0.000 0.000 0.000 18.875" Properties=species:S:1:pos:R:3 pbc="T T T"
Cd 0.000 0.000 11.383
Rh 0.000 0.000 0.000
Ho 1.804 1.804 9.438
Ho 1.804 1.804 13.325
Ho 1.804 1.804 5.550
Cd 0.000 0.000 7.492
Ho 1.804 1.804 17.280
Ho 1.804 1.804 1.595
Cd 0.000 0.000 3.630
Cd 0.000 0.000 15.245
```


# 16
Entry from Alexandria: a relaxed SiPb crystal (PBE-GGA).

Output
Its symmetry is No. 12. For the formation energy from raw total energies, the calculation gives 0.22 eV/atom.

```
8
Lattice="-7.885 -0.814 -3.070 1.402 -1.093 -3.311 1.479 -5.783 2.535" Properties=species:S:1:pos:R:3 pbc="T T T"
Pb -5.678 -1.866 -3.921
Si -2.319 -2.714 -2.219
Pb 0.674 -5.824 0.075
Pb -0.766 -2.386 0.463
Si -2.280 -5.059 0.704
Pb -5.639 -4.211 -0.998
Si -4.125 -1.538 -1.239
Si -2.685 -4.976 -1.628
```


# 17
Entry from Alexandria: a relaxed La2BeAs4Pt3 crystal (PBE-GGA).

Output
Its symmetry is No. 115. For the formation energy, the calculation gives -0.831 eV per atom.

```
10
Lattice="4.486 0.000 0.000 0.000 4.486 0.000 0.000 0.000 9.791" Properties=species:S:1:pos:R:3 pbc="T T T"
Be 2.243 2.243 4.896
Pt 0.000 2.243 1.176
Pt 2.243 0.000 8.616
As 2.243 2.243 0.000
As 0.000 2.243 3.692
As 0.000 0.000 0.000
La 0.000 2.243 7.325
La 2.243 0.000 2.467
Pt 0.000 0.000 4.896
As 2.243 0.000 6.100
```


# 18
Entry from Alexandria: a relaxed BiOsCl2 crystal (PBE-GGA).

Output
Its symmetry is No. 166. As for the polymorph energy (0 for the lowest one): 0.000 eV/atom. For the formation energy from raw total energies, the calculation gives 0.35 eV/atom.

```
4
Lattice="2.054 0.000 10.748 -1.027 1.779 10.748 -1.027 -1.779 10.748" Properties=species:S:1:pos:R:3 pbc="T T T"
Bi 0.000 0.000 0.000
Cl 0.000 0.000 28.090
Os 0.000 0.000 16.122
Cl 0.000 0.000 4.155
```


# 19
Entry from Alexandria: a relaxed Si2Te crystal (PBE-GGA).

Output
Its symmetry is No. 65. As for the polymorph energy (0 for the lowest one): 0.334 eV/atom. For the formation energy from raw total energies, the calculation gives 0.36 eV/atom.

```
6
Lattice="1.822 -9.685 0.000 1.822 9.685 0.000 0.000 0.000 3.684" Properties=species:S:1:pos:R:3 pbc="T T T"
Si 1.822 7.721 1.842
Te 1.822 -3.116 0.000
Si 0.000 0.000 0.000
Si 1.822 0.000 1.842
Si 1.822 -7.721 1.842
Te 1.822 3.116 0.000
```


# 20
Entry from Alexandria: a relaxed SrLi2NpCl8 crystal (PBE-GGA).

Output
Its symmetry is No. 2. For the formation energy from raw total energies, the calculation gives -1.86 eV/atom.

```
12
Lattice="6.265 0.205 0.007 0.235 6.248 0.004 0.021 0.025 8.704" Properties=species:S:1:pos:R:3 pbc="T T T"
Li 3.252 3.232 6.014
Cl 5.052 1.528 6.727
Cl 4.661 4.700 0.021
Cl 1.480 4.965 6.726
Sr 0.010 0.013 4.352
Cl 1.468 4.951 1.988
Cl 1.860 1.779 8.694
Li 3.268 3.247 2.701
Cl 4.453 4.483 4.366
Cl 5.041 1.514 1.988
Np 0.000 0.000 0.000
Cl 2.068 1.996 4.349
```